Entry 1:
VASP calculation (PBE-GGA) on a relaxed structure of BeTcGe.

Values from the calculation:
The density of states at the Fermi level comes out at 2.572 states/eV/f.u. Its energy of formation from the pure elements is 655 meV/atom. As for the space group: No. 107.

a b c (Å): 2.725 2.725 6.565
angles (deg): 101.98 101.98 90.00
Fractional coordinates of all 3 atoms:
1 Be 0.950 0.950 0.901
2 Ge 0.773 0.773 0.545
3 Tc 0.127 0.127 0.254



Entry 2:
VASP calculation (PBE-GGA) on a relaxed structure of CsNi2IrCl8.

Values from the calculation:
The density of states at the Fermi level comes out at 9.861 states/eV/f.u. For the energy, the calculation gives -44.6 eV per formula unit. As for the space group: No. 148.

a b c (Å): 6.198 6.198 10.652
angles (deg): 73.09 73.09 60.00
Last column: magnetic moment on the atom in μB.
Fractional coordinates of all 12 atoms:
1 Cs 0.500 0.500 0.500  0.00
2 Ni 0.270 0.270 0.190  1.32
3 Ni 0.730 0.730 0.810  1.32
4 Ir 0.000 0.000 0.000  0.26
5 Cl 0.197 0.197 0.409  0.14
6 Cl 0.652 0.268 0.138  0.08
7 Cl 0.803 0.803 0.591  0.14
8 Cl 0.942 0.652 0.138  0.08
9 Cl 0.058 0.348 0.862  0.08
10 Cl 0.268 0.942 0.138  0.08
11 Cl 0.732 0.058 0.862  0.08
12 Cl 0.348 0.732 0.862  0.08



Entry 3:
VASP calculation (PBE-GGA) on a relaxed structure of LiPtRh2.

Values from the calculation:
The density of states at the Fermi level comes out at 4.475 states/eV/f.u. Its energy of formation from the pure elements is -193 meV/atom. As for the space group: No. 8.

a b c (Å): 4.700 4.700 4.680
angles (deg): 81.35 81.35 33.59
Fractional coordinates of all 4 atoms:
1 Li 0.498 0.498 0.515
2 Pt 0.746 0.746 0.734
3 Rh 0.000 0.000 0.020
4 Rh 0.256 0.256 0.231



Entry 4:
VASP calculation (PBE-GGA) on a relaxed structure of CsBaCd2Rh.

Values from the calculation:
The density of states at the Fermi level comes out at 4.117 states/eV/f.u. Its energy of formation from the pure elements is -103 meV/atom. As for the space group: No. 123.

a b c (Å): 5.540 5.540 5.673
angles (deg): 90.00 90.00 90.00
Fractional coordinates of all 5 atoms:
1 Cs 0.500 0.500 0.500
2 Rh 0.000 0.000 0.000
3 Ba 0.000 0.000 0.500
4 Cd 0.000 0.500 0.000
5 Cd 0.500 0.000 0.000



| no. | theoretical density (g/cm³) |
| --- | --- |
| 1 | 6.4 |
| 2 | 3.6 |
| 3 | 12.0 |
| 4 | 5.7 |